[1]
VASP calculation (PBE) on Sr2ScIn after structural relaxation.

**Theoretical density**: 3.83 g cm⁻³
**Total energy**: -3.163 eV/atom
**D(E_F)**: 0.841 states/eV/atom
**Space-group type**: No. 38

a = 5.217 Å, b = 3.989 Å, c = 7.263 Å
α = 74.02°, β = 90.00°, γ = 90.00°
Sites, in units of the cell vectors:
Sr  0.000  0.962  0.950
Sr  0.500  0.285  0.307
Sc  0.500  0.573  0.729
In  0.000  0.681  0.514

[2]
VASP calculation (PBE) on SrSc2TaIn after structural relaxation.

**Theoretical density**: 3.07 g cm⁻³
**Total energy**: -4.131 eV/atom
**D(E_F)**: 0.573 states/eV/atom
**Space-group type**: No. 123

a = 6.127 Å, b = 6.829 Å, c = 6.127 Å
α = 90.00°, β = 90.00°, γ = 90.00°
Site moments in Bohr magnetons follow the coordinates.
Sites, in units of the cell vectors:
Ta  0.500  0.500  0.500  2.25
In  0.000  0.000  0.000  0.00
Sc  0.500  0.000  0.000  0.52
Sr  0.000  0.500  0.000  0.04
Sc  0.000  0.000  0.500  0.49

[3]
VASP calculation (PBE) on Sr2ScInTe5 after structural relaxation.

**Theoretical density**: 5.31 g cm⁻³
**Total energy**: -4.302 eV/atom
**Uncorrected formation energy**: -1.175 eV/atom
**Space-group type**: No. 36

a = 4.406 Å, b = 10.147 Å, c = 13.934 Å
α = 90.00°, β = 90.00°, γ = 102.54°
Sites, in units of the cell vectors:
Te  0.713  0.425  0.164
Te  0.504  0.009  0.264
Sr  0.118  0.237  0.680
In  0.442  0.884  0.440
Te  0.305  0.610  0.372
Te  0.695  0.390  0.872
Sr  0.868  0.736  0.816
Sc  0.211  0.423  0.023
Te  0.945  0.891  0.565
Te  0.055  0.109  0.065
Te  0.287  0.575  0.664
Te  0.496  0.991  0.764
In  0.558  0.116  0.940
Sc  0.789  0.577  0.523
Te  0.356  0.712  0.002
Te  0.644  0.288  0.502
Sr  0.882  0.763  0.180
Sr  0.132  0.264  0.316

[4]
VASP calculation (PBE) on Sr2ScTlIn after structural relaxation.

**Theoretical density**: 4.18 g cm⁻³
**Total energy**: -2.769 eV/atom
**D(E_F)**: 2.052 states/eV/atom
**Space-group type**: No. 123

a = 6.254 Å, b = 5.475 Å, c = 6.254 Å
α = 90.00°, β = 90.00°, γ = 90.00°
Sites, in units of the cell vectors:
In  0.500  0.500  0.500
Tl  0.000  0.000  0.000
Sr  0.000  0.000  0.500
Sc  0.000  0.500  0.000
Sr  0.500  0.000  0.000

[5]
VASP calculation (PBE) on SrScInW2 after structural relaxation.

**Theoretical density**: 7.88 g cm⁻³
**Total energy**: -4.733 eV/atom
**D(E_F)**: 1.290 states/eV/atom
**Space-group type**: No. 123

a = 4.869 Å, b = 5.467 Å, c = 4.869 Å
α = 90.00°, β = 90.00°, γ = 90.00°
Sites, in units of the cell vectors:
In  0.000  0.500  0.000
Sc  0.500  0.500  0.500
W  0.000  0.000  0.500
W  0.500  0.000  0.000
Sr  0.000  0.000  0.000

[6]
VASP calculation (PBE) on ScTaIn2 after structural relaxation.

**Theoretical density**: 9.17 g cm⁻³
**Total energy**: -5.960 eV/atom
**D(E_F)**: 0.808 states/eV/atom
**Space-group type**: No. 65
**ΔE to the lowest computed polymorph**: 0.16 eV/f.u.

a = 5.363 Å, b = 5.363 Å, c = 3.065 Å
α = 90.00°, β = 90.00°, γ = 110.64°
Sites, in units of the cell vectors:
Sc  0.500  0.000  0.500
In  0.000  0.000  0.000
In  0.500  0.500  0.000
Ta  0.000  0.500  0.500

[7]
VASP calculation (PBE) on ScTa3In after structural relaxation.

**Theoretical density**: 9.17 g cm⁻³
**Total energy**: -7.101 eV/atom
**D(E_F)**: 1.699 states/eV/atom
**Space-group type**: No. 221
**ΔE to the lowest computed polymorph**: 0.54 eV/f.u.

a = 5.030 Å, b = 5.030 Å, c = 5.030 Å
α = 90.00°, β = 90.00°, γ = 90.00°
Sites, in units of the cell vectors:
Sc  0.500  0.500  0.500
In  0.000  0.000  0.000
Ta  0.500  0.000  0.000
Ta  0.000  0.000  0.500
Ta  0.000  0.500  0.000

[8]
VASP calculation (PBE) on ScTaIn2 after structural relaxation.

**Theoretical density**: 8.78 g cm⁻³
**Total energy**: -5.875 eV/atom
**D(E_F)**: 1.096 states/eV/atom
**Space-group type**: No. 166
**ΔE to the lowest computed polymorph**: 0.50 eV/f.u.

a = 10.162 Å, b = 10.162 Å, c = 10.162 Å
α = 17.86°, β = 17.86°, γ = 17.86°
Site moments in Bohr magnetons follow the coordinates.
Sites, in units of the cell vectors:
In  0.002  0.002  0.002  0.00
In  0.498  0.498  0.498  0.00
Sc  0.250  0.250  0.250  0.19
Ta  0.750  0.750  0.750  0.04

[9]
VASP calculation (PBE) on ScTaIn2 after structural relaxation.

**Theoretical density**: 9.17 g cm⁻³
**Total energy**: -5.962 eV/atom
**D(E_F)**: 0.756 states/eV/atom
**Space-group type**: No. 139
**ΔE to the lowest computed polymorph**: 0.15 eV/f.u.

a = 5.350 Å, b = 5.350 Å, c = 5.350 Å
α = 132.16°, β = 132.16°, γ = 69.97°
Sites, in units of the cell vectors:
Sc  0.250  0.750  0.500
In  0.500  0.500  0.000
Ta  0.750  0.250  0.500
In  0.000  0.000  0.000

[10]
VASP calculation (PBE) on ScTa3In after structural relaxation.

**Theoretical density**: 10.67 g cm⁻³
**Total energy**: -7.209 eV/atom
**D(E_F)**: 1.402 states/eV/atom
**Space-group type**: No. 221
**ΔE to the lowest computed polymorph**: 0.00 eV/f.u.

a = 4.781 Å, b = 4.781 Å, c = 4.781 Å
α = 90.00°, β = 90.00°, γ = 90.00°
Sites, in units of the cell vectors:
Ta  0.500  0.000  0.000
Sc  0.000  0.000  0.000
In  0.500  0.500  0.500
Ta  0.000  0.000  0.500
Ta  0.000  0.500  0.000

[11]
VASP calculation (PBE) on Sc2TaIn after structural relaxation.

**Theoretical density**: 7.52 g cm⁻³
**Total energy**: -6.857 eV/atom
**D(E_F)**: 0.872 states/eV/atom
**Space-group type**: No. 25

a = 5.140 Å, b = 3.008 Å, c = 5.512 Å
α = 89.99°, β = 90.00°, γ = 90.00°
Sites, in units of the cell vectors:
Ta  0.000  0.625  0.461
Sc  0.500  0.125  0.295
Sc  0.000  0.125  0.967
In  0.500  0.625  0.777

[12]
VASP calculation (PBE) on ScTa2In after structural relaxation.

**Theoretical density**: 11.01 g cm⁻³
**Total energy**: -8.106 eV/atom
**D(E_F)**: 0.937 states/eV/atom
**Space-group type**: No. 216

a = 4.810 Å, b = 4.810 Å, c = 4.810 Å
α = 60.00°, β = 60.00°, γ = 60.00°
Sites, in units of the cell vectors:
Ta  0.000  0.000  0.000
Ta  0.250  0.250  0.250
In  0.500  0.500  0.500
Sc  0.750  0.750  0.750

Question: Which formula does entry 8 have?
Answer: ScTaIn2